Entry from the Alexandria database: an optimized crystal structure of Li2CuHg (PBE).

Values from the calculation:
* total DFT energy (no corrections): -2.25 eV/atom
* spin magnetization: 0.0 μB/f.u.

Cell and atoms, written as CIF:
```
data_Li2CuHg
_chemical_formula_sum 'Li8 Cu4 Hg4'
_cell_length_a 6.302
_cell_length_b 6.302
_cell_length_c 6.302
_cell_angle_alpha 90.00
_cell_angle_beta 90.00
_cell_angle_gamma 90.00
_symmetry_space_group_name_H-M 'F -4 3 m'
_symmetry_Int_Tables_number 216
_symmetry_space_group_name_Hall 'F -4 2 3'
loop_
_atom_site_label
_atom_site_fract_x
_atom_site_fract_y
_atom_site_fract_z
Li1 0.000 0.000 0.000
Li2 0.250 0.250 0.250
Cu1 0.000 0.000 0.500
Hg1 0.250 0.250 0.750
```


Entry from the Alexandria database: an optimized crystal structure of Li2CuHg (PBE).

Values from the calculation:
* total DFT energy (no corrections): -2.22 eV/atom
* spin magnetization: 0.0 μB/f.u.

Cell and atoms, written as CIF:
```
data_Li2CuHg
_chemical_formula_sum 'Li4 Cu2 Hg2'
_cell_length_a 3.994
_cell_length_b 3.994
_cell_length_c 7.803
_cell_angle_alpha 90.00
_cell_angle_beta 90.00
_cell_angle_gamma 90.00
_symmetry_space_group_name_H-M 'I 4/m m m'
_symmetry_Int_Tables_number 139
_symmetry_space_group_name_Hall '-I 4 2'
loop_
_atom_site_label
_atom_site_fract_x
_atom_site_fract_y
_atom_site_fract_z
Li1 0.000 0.500 0.250
Cu1 0.000 0.000 0.000
Hg1 0.000 0.000 0.500
```


Entry from the Alexandria database: an optimized crystal structure of LiCuHg (PBE).

Values from the calculation:
* total DFT energy (no corrections): -2.20 eV/atom
* spin magnetization: 0.0 μB/f.u.

Cell and atoms, written as CIF:
```
data_LiCuHg
_chemical_formula_sum 'Li2 Cu2 Hg2'
_cell_length_a 3.004
_cell_length_b 3.745
_cell_length_c 8.563
_cell_angle_alpha 90.00
_cell_angle_beta 90.00
_cell_angle_gamma 90.00
_symmetry_space_group_name_H-M 'I m m 2'
_symmetry_Int_Tables_number 44
_symmetry_space_group_name_Hall 'I 2 -2'
loop_
_atom_site_label
_atom_site_fract_x
_atom_site_fract_y
_atom_site_fract_z
Li1 0.000 0.000 0.000
Cu1 0.000 0.000 0.654
Hg1 0.000 0.000 0.328
```


Entry from the Alexandria database: an optimized crystal structure of Li3CuHg4 (PBE).

Values from the calculation:
* total DFT energy (no corrections): -1.62 eV/atom
* spin magnetization: 0.0 μB/f.u.

Cell and atoms, written as CIF:
```
data_Li3CuHg4
_chemical_formula_sum 'Li3 Cu1 Hg4'
_cell_length_a 3.311
_cell_length_b 3.311
_cell_length_c 13.310
_cell_angle_alpha 90.00
_cell_angle_beta 90.00
_cell_angle_gamma 90.00
_symmetry_space_group_name_H-M 'P 4/m m m'
_symmetry_Int_Tables_number 123
_symmetry_space_group_name_Hall '-P 4 2'
loop_
_atom_site_label
_atom_site_fract_x
_atom_site_fract_y
_atom_site_fract_z
Li1 0.000 0.000 0.000
Li2 0.000 0.000 0.258
Cu1 0.000 0.000 0.500
Hg1 0.500 0.500 0.127
Hg2 0.500 0.500 0.380
```


Entry from the Alexandria database: an optimized crystal structure of LiCuHg2 (PBE).

Values from the calculation:
* total DFT energy (no corrections): -1.76 eV/atom
* spin magnetization: 0.0 μB/f.u.

Cell and atoms, written as CIF:
```
data_LiCuHg2
_chemical_formula_sum 'Li1 Cu1 Hg2'
_cell_length_a 3.284
_cell_length_b 3.284
_cell_length_c 6.576
_cell_angle_alpha 90.00
_cell_angle_beta 90.00
_cell_angle_gamma 90.00
_symmetry_space_group_name_H-M 'P 4/m m m'
_symmetry_Int_Tables_number 123
_symmetry_space_group_name_Hall '-P 4 2'
loop_
_atom_site_label
_atom_site_fract_x
_atom_site_fract_y
_atom_site_fract_z
Li1 0.000 0.000 0.000
Cu1 0.000 0.000 0.500
Hg1 0.500 0.500 0.253
```


Entry from the Alexandria database: an optimized crystal structure of Li6CuHg2 (PBE).

Values from the calculation:
* total DFT energy (no corrections): -1.96 eV/atom
* spin magnetization: 0.0 μB/f.u.

Cell and atoms, written as CIF:
```
data_Li6CuHg2
_chemical_formula_sum 'Li12 Cu2 Hg4'
_cell_length_a 13.335
_cell_length_b 7.701
_cell_length_c 2.896
_cell_angle_alpha 90.00
_cell_angle_beta 90.23
_cell_angle_gamma 90.00
_symmetry_space_group_name_H-M 'C 1 2/m 1'
_symmetry_Int_Tables_number 12
_symmetry_space_group_name_Hall '-C 2y'
loop_
_atom_site_label
_atom_site_fract_x
_atom_site_fract_y
_atom_site_fract_z
Li1 0.000 0.172 0.000
Li2 0.164 0.336 0.993
Cu1 0.000 0.500 0.500
Hg1 0.167 0.000 0.500
```


Entry from the Alexandria database: an optimized crystal structure of LiCuHg (PBE).

Values from the calculation:
* total DFT energy (no corrections): -2.08 eV/atom
* spin magnetization: 0.0 μB/f.u.

Cell and atoms, written as CIF:
```
data_LiCuHg
_chemical_formula_sum 'Li4 Cu4 Hg4'
_cell_length_a 6.155
_cell_length_b 6.155
_cell_length_c 6.155
_cell_angle_alpha 90.00
_cell_angle_beta 90.00
_cell_angle_gamma 90.00
_symmetry_space_group_name_H-M 'F -4 3 m'
_symmetry_Int_Tables_number 216
_symmetry_space_group_name_Hall 'F -4 2 3'
loop_
_atom_site_label
_atom_site_fract_x
_atom_site_fract_y
_atom_site_fract_z
Li1 0.000 0.000 0.000
Cu1 0.250 0.250 0.250
Hg1 0.000 0.000 0.500
```


Entry from the Alexandria database: an optimized crystal structure of Li2CuHg (PBE).

Values from the calculation:
* total DFT energy (no corrections): -2.16 eV/atom
* spin magnetization: 0.0 μB/f.u.

Cell and atoms, written as CIF:
```
data_Li2CuHg
_chemical_formula_sum 'Li2 Cu1 Hg1'
_cell_length_a 2.910
_cell_length_b 3.901
_cell_length_c 5.736
_cell_angle_alpha 90.00
_cell_angle_beta 90.00
_cell_angle_gamma 90.00
_symmetry_space_group_name_H-M 'P m m 2'
_symmetry_Int_Tables_number 25
_symmetry_space_group_name_Hall 'P 2 -2'
loop_
_atom_site_label
_atom_site_fract_x
_atom_site_fract_y
_atom_site_fract_z
Li1 0.000 0.000 0.000
Li2 0.500 0.500 0.274
Cu1 0.000 0.000 0.487
Hg1 0.500 0.500 0.754
```


Entry from the Alexandria database: an optimized crystal structure of LiCuHg (PBE).

Values from the calculation:
* total DFT energy (no corrections): -2.20 eV/atom
* spin magnetization: 0.0 μB/f.u.

Cell and atoms, written as CIF:
```
data_LiCuHg
_chemical_formula_sum 'Li4 Cu4 Hg4'
_cell_length_a 4.551
_cell_length_b 8.998
_cell_length_c 4.619
_cell_angle_alpha 90.00
_cell_angle_beta 90.00
_cell_angle_gamma 90.00
_symmetry_space_group_name_H-M 'C m m m'
_symmetry_Int_Tables_number 65
_symmetry_space_group_name_Hall '-C 2 2'
loop_
_atom_site_label
_atom_site_fract_x
_atom_site_fract_y
_atom_site_fract_z
Li1 0.000 0.175 0.000
Cu1 0.000 0.319 0.500
Hg1 0.000 0.000 0.500
Hg2 0.000 0.500 0.000
```


Entry from the Alexandria database: an optimized crystal structure of Li5CuHg (PBE).

Values from the calculation:
* total DFT energy (no corrections): -2.09 eV/atom
* spin magnetization: 0.0 μB/f.u.

Cell and atoms, written as CIF:
```
data_Li5CuHg
_chemical_formula_sum 'Li20 Cu4 Hg4'
_cell_length_a 6.782
_cell_length_b 7.083
_cell_length_c 10.155
_cell_angle_alpha 90.00
_cell_angle_beta 105.34
_cell_angle_gamma 90.00
_symmetry_space_group_name_H-M 'C 1 2/c 1'
_symmetry_Int_Tables_number 15
_symmetry_space_group_name_Hall '-C 2yc'
loop_
_atom_site_label
_atom_site_fract_x
_atom_site_fract_y
_atom_site_fract_z
Li1 0.000 0.011 0.250
Li2 0.143 0.356 0.558
Li3 0.224 0.284 0.864
Cu1 0.000 0.000 0.000
Hg1 0.000 0.402 0.250
```


Entry from the Alexandria database: an optimized crystal structure of Li2CuHg2 (PBE).

Values from the calculation:
* total DFT energy (no corrections): -1.70 eV/atom
* spin magnetization: 0.0 μB/f.u.

Cell and atoms, written as CIF:
```
data_Li2CuHg2
_chemical_formula_sum 'Li4 Cu2 Hg4'
_cell_length_a 3.596
_cell_length_b 3.596
_cell_length_c 14.115
_cell_angle_alpha 90.00
_cell_angle_beta 90.00
_cell_angle_gamma 90.00
_symmetry_space_group_name_H-M 'I 4/m m m'
_symmetry_Int_Tables_number 139
_symmetry_space_group_name_Hall '-I 4 2'
loop_
_atom_site_label
_atom_site_fract_x
_atom_site_fract_y
_atom_site_fract_z
Li1 0.000 0.500 0.250
Cu1 0.000 0.000 0.000
Hg1 0.000 0.000 0.395
```


Entry from the Alexandria database: an optimized crystal structure of LiCuHg2 (PBE).

Values from the calculation:
* total DFT energy (no corrections): -1.68 eV/atom
* spin magnetization: 0.0 μB/f.u.

Cell and atoms, written as CIF:
```
data_LiCuHg2
_chemical_formula_sum 'Li3 Cu3 Hg6'
_cell_length_a 4.4362
_cell_length_b 4.4362
_cell_length_c 14.5382
_cell_angle_alpha 90.00
_cell_angle_beta 90.00
_cell_angle_gamma 120.00
_symmetry_space_group_name_H-M 'R 3 m'
_symmetry_Int_Tables_number 160
_symmetry_space_group_name_Hall 'R 3 -2"'
loop_
_atom_site_label
_atom_site_fract_x
_atom_site_fract_y
_atom_site_fract_z
Li1 0.0000 0.0000 0.0000
Cu1 0.0000 0.0000 0.1888
Hg1 0.0000 0.0000 0.5753
Hg2 0.0000 0.0000 0.7813
```


Entry from the Alexandria database: an optimized crystal structure of LiCuHg (PBE).

Values from the calculation:
* total DFT energy (no corrections): -2.21 eV/atom
* spin magnetization: 0.0 μB/f.u.

Cell and atoms, written as CIF:
```
data_LiCuHg
_chemical_formula_sum 'Li4 Cu4 Hg4'
_cell_length_a 4.600
_cell_length_b 5.055
_cell_length_c 8.316
_cell_angle_alpha 90.00
_cell_angle_beta 90.00
_cell_angle_gamma 90.00
_symmetry_space_group_name_H-M 'A m a 2'
_symmetry_Int_Tables_number 40
_symmetry_space_group_name_Hall 'A 2 -2a'
loop_
_atom_site_label
_atom_site_fract_x
_atom_site_fract_y
_atom_site_fract_z
Li1 0.250 0.174 0.000
Cu1 0.250 0.142 0.660
Hg1 0.250 0.185 0.330
```


Entry from the Alexandria database: an optimized crystal structure of Li2CuHg (PBE).

Values from the calculation:
* total DFT energy (no corrections): -2.24 eV/atom
* spin magnetization: 0.0 μB/f.u.

Cell and atoms, written as CIF:
```
data_Li2CuHg
_chemical_formula_sum 'Li4 Cu2 Hg2'
_cell_length_a 4.005
_cell_length_b 4.005
_cell_length_c 7.788
_cell_angle_alpha 90.00
_cell_angle_beta 90.00
_cell_angle_gamma 90.00
_symmetry_space_group_name_H-M 'I -4 m 2'
_symmetry_Int_Tables_number 119
_symmetry_space_group_name_Hall 'I -4 -2'
loop_
_atom_site_label
_atom_site_fract_x
_atom_site_fract_y
_atom_site_fract_z
Li1 0.000 0.000 0.000
Li2 0.000 0.500 0.250
Cu1 0.000 0.000 0.500
Hg1 0.000 0.500 0.750
```


Entry from the Alexandria database: an optimized crystal structure of LiCuHg (PBE).

Values from the calculation:
* total DFT energy (no corrections): -2.22 eV/atom
* spin magnetization: 0.0 μB/f.u.

Cell and atoms, written as CIF:
```
data_LiCuHg
_chemical_formula_sum 'Li4 Cu4 Hg4'
_cell_length_a 8.540
_cell_length_b 4.139
_cell_length_c 5.607
_cell_angle_alpha 90.00
_cell_angle_beta 104.51
_cell_angle_gamma 90.00
_symmetry_space_group_name_H-M 'C 1 m 1'
_symmetry_Int_Tables_number 8
_symmetry_space_group_name_Hall 'C -2y'
loop_
_atom_site_label
_atom_site_fract_x
_atom_site_fract_y
_atom_site_fract_z
Li1 0.000 0.000 0.000
Li2 0.190 0.500 0.362
Cu1 0.179 0.500 0.841
Cu2 0.358 0.000 0.686
Hg1 0.028 0.000 0.532
Hg2 0.332 0.000 0.158
```


Entry from the Alexandria database: an optimized crystal structure of Li15CuHg4 (PBE).

Values from the calculation:
* total DFT energy (no corrections): -1.90 eV/atom
* spin magnetization: 0.0 μB/f.u.

Cell and atoms, written as CIF:
```
data_Li15CuHg4
_chemical_formula_sum 'Li15 Cu1 Hg4'
_cell_length_a 4.111
_cell_length_b 4.111
_cell_length_c 20.582
_cell_angle_alpha 90.00
_cell_angle_beta 90.00
_cell_angle_gamma 90.00
_symmetry_space_group_name_H-M 'P 4/m m m'
_symmetry_Int_Tables_number 123
_symmetry_space_group_name_Hall '-P 4 2'
loop_
_atom_site_label
_atom_site_fract_x
_atom_site_fract_y
_atom_site_fract_z
Li1 0.000 0.000 0.000
Li2 0.000 0.000 0.194
Li3 0.000 0.000 0.398
Li4 0.000 0.500 0.092
Li5 0.000 0.500 0.296
Li6 0.000 0.500 0.500
Cu1 0.500 0.500 0.000
Hg1 0.500 0.500 0.194
Hg2 0.500 0.500 0.398
```


Entry from the Alexandria database: an optimized crystal structure of Li2CuHg4 (PBE).

Values from the calculation:
* total DFT energy (no corrections): -1.46 eV/atom
* spin magnetization: 0.0 μB/f.u.

Cell and atoms, written as CIF:
```
data_Li2CuHg4
_chemical_formula_sum 'Li4 Cu2 Hg8'
_cell_length_a 6.412
_cell_length_b 6.412
_cell_length_c 6.838
_cell_angle_alpha 90.00
_cell_angle_beta 90.00
_cell_angle_gamma 90.00
_symmetry_space_group_name_H-M 'I 4/m m m'
_symmetry_Int_Tables_number 139
_symmetry_space_group_name_Hall '-I 4 2'
loop_
_atom_site_label
_atom_site_fract_x
_atom_site_fract_y
_atom_site_fract_z
Li1 0.000 0.500 0.000
Cu1 0.000 0.000 0.000
Hg1 0.250 0.250 0.250
```


Entry from the Alexandria database: an optimized crystal structure of LiCuHg (PBE).

Values from the calculation:
* total DFT energy (no corrections): -2.22 eV/atom
* spin magnetization: 0.0 μB/f.u.

Cell and atoms, written as CIF:
```
data_LiCuHg
_chemical_formula_sum 'Li4 Cu4 Hg4'
_cell_length_a 8.272
_cell_length_b 4.267
_cell_length_c 5.440
_cell_angle_alpha 90.00
_cell_angle_beta 99.67
_cell_angle_gamma 90.00
_symmetry_space_group_name_H-M 'C 1 2/m 1'
_symmetry_Int_Tables_number 12
_symmetry_space_group_name_Hall '-C 2y'
loop_
_atom_site_label
_atom_site_fract_x
_atom_site_fract_y
_atom_site_fract_z
Li1 0.165 0.000 0.309
Cu1 0.000 0.500 0.000
Cu2 0.000 0.500 0.500
Hg1 0.161 0.000 0.798
```


Entry from the Alexandria database: an optimized crystal structure of Li2CuHg (PBE).

Values from the calculation:
* total DFT energy (no corrections): -2.09 eV/atom
* spin magnetization: 0.0 μB/f.u.

Cell and atoms, written as CIF:
```
data_Li2CuHg
_chemical_formula_sum 'Li6 Cu3 Hg3'
_cell_length_a 3.0214
_cell_length_b 3.0214
_cell_length_c 26.0660
_cell_angle_alpha 90.00
_cell_angle_beta 90.00
_cell_angle_gamma 120.00
_symmetry_space_group_name_H-M 'R -3 m'
_symmetry_Int_Tables_number 166
_symmetry_space_group_name_Hall '-R 3 2"'
loop_
_atom_site_label
_atom_site_fract_x
_atom_site_fract_y
_atom_site_fract_z
Li1 0.0000 0.0000 0.2418
Cu1 0.0000 0.0000 0.5000
Hg1 0.0000 0.0000 0.0000
```


Entry from the Alexandria database: an optimized crystal structure of LiCuHg (PBE).

Values from the calculation:
* total DFT energy (no corrections): -2.21 eV/atom
* spin magnetization: 0.0 μB/f.u.

Cell and atoms, written as CIF:
```
data_LiCuHg
_chemical_formula_sum 'Li4 Cu4 Hg4'
_cell_length_a 9.183
_cell_length_b 3.376
_cell_length_c 6.627
_cell_angle_alpha 90.00
_cell_angle_beta 109.59
_cell_angle_gamma 90.00
_symmetry_space_group_name_H-M 'C 1 2/m 1'
_symmetry_Int_Tables_number 12
_symmetry_space_group_name_Hall '-C 2y'
loop_
_atom_site_label
_atom_site_fract_x
_atom_site_fract_y
_atom_site_fract_z
Li1 0.169 0.000 0.108
Cu1 0.177 0.000 0.569
Hg1 0.014 0.500 0.753
```